Entry 1:
The following is a PBE calculation of a relaxed structure of NbBrO2, from the Alexandria database.

Cell: 5.748 5.748 5.748 Å, 90.00 90.00 90.00°
Space group Fm-3m (No. 225)
One atom of each set of equivalent atoms:
Nb: 0.000 0.000 0.000 [4 per cell]
Br: 0.000 0.000 0.500 [4 per cell]
O: 0.250 0.250 0.250 [8 per cell]

Values from the calculation:
* DOS(E_F): 9.92 states/eV per cell
* energy relative to the elements, uncorrected: -343 meV per atom

Entry 2:
The following is a PBE calculation of a relaxed structure of NbBrO2, from the Alexandria database.

Cell: 8.705 8.705 8.705 Å, 90.00 90.00 90.00°
Space group Fd-3m (No. 227, origin choice 2)
One atom of each set of equivalent atoms:
Nb: 0.125 0.125 0.125 [8 per cell]
Br: 0.125 0.125 0.625 [8 per cell]
O: 0.000 0.000 0.000 [16 per cell]

Values from the calculation:
* DOS(E_F): 42.79 states/eV per cell
* energy relative to the elements, uncorrected: -1811 meV per atom

Entry 3:
The following is a PBE calculation of a relaxed structure of NbBrO2, from the Alexandria database.

Cell: 3.1507 3.1507 28.7797 Å, 90.00 90.00 120.00°
Space group R-3m (No. 166, hexagonal axes)
One atom of each set of equivalent atoms:
Nb: 0.0000 0.0000 0.0000 [3 per cell]
Br: 0.0000 0.0000 0.5000 [3 per cell]
O: 0.0000 0.0000 0.3690 [6 per cell]

Values from the calculation:
* DOS(E_F): 8.77 states/eV per cell
* energy relative to the elements, uncorrected: -1517 meV per atom

Entry 4:
The following is a PBE calculation of a relaxed structure of Nb3Br7O, from the Alexandria database.

Cell: 12.299 7.099 9.254 Å, 90.00 131.45 90.00°
Space group Cm (No. 8)
One atom of each set of equivalent atoms:
Nb: 0.000 0.000 0.000 [2 per cell]
Nb: 0.304 0.304 0.000 [4 per cell]
Br: 0.011 0.255 0.785 [4 per cell]
Br: 0.078 0.254 0.250 [4 per cell]
Br: 0.264 0.000 0.784 [2 per cell]
Br: 0.299 0.000 0.194 [2 per cell]
Br: 0.324 0.500 0.250 [2 per cell]
O: 0.273 0.500 0.806 [2 per cell]

Values from the calculation:
* energy relative to the elements, uncorrected: -1072 meV per atom

Entry 5:
The following is a PBE calculation of a relaxed structure of NbBrO2, from the Alexandria database.

Cell: 3.0677 3.0677 23.5306 Å, 90.00 90.00 120.00°
Space group R-3m (No. 166, hexagonal axes)
One atom of each set of equivalent atoms:
Nb: 0.0000 0.0000 0.0000 [3 per cell]
Br: 0.0000 0.0000 0.5000 [3 per cell]
O: 0.0000 0.0000 0.0789 [6 per cell]

Values from the calculation:
* DOS(E_F): 13.43 states/eV per cell
* energy relative to the elements, uncorrected: -21 meV per atom

Entry 6:
The following is a PBE calculation of a relaxed structure of NbP2BrO, from the Alexandria database.

Cell: 4.999 4.999 3.939 Å, 90.00 90.00 90.00°
Space group P4/mmm (No. 123)
One atom of each set of equivalent atoms:
Nb: 0.000 0.000 0.000 [1 per cell]
P: 0.000 0.500 0.000 [2 per cell]
Br: 0.500 0.500 0.500 [1 per cell]
O: 0.000 0.000 0.500 [1 per cell]

Values from the calculation:
* DOS(E_F): 2.98 states/eV per cell
* energy relative to the elements, uncorrected: -231 meV per atom

Entry 7:
The following is a PBE calculation of a relaxed structure of NbP2BrO, from the Alexandria database.

Cell: 4.863 4.863 3.628 Å, 90.00 90.00 90.00°
Space group P4/mmm (No. 123)
One atom of each set of equivalent atoms:
Nb: 0.000 0.000 0.000 [1 per cell]
P: 0.000 0.500 0.500 [2 per cell]
Br: 0.500 0.500 0.500 [1 per cell]
O: 0.500 0.500 0.000 [1 per cell]

Values from the calculation:
* DOS(E_F): 4.43 states/eV per cell
* energy relative to the elements, uncorrected: 1048 meV per atom

Entry 8:
The following is a PBE calculation of a relaxed structure of NbPBrO2, from the Alexandria database.

Cell: 3.913 3.913 5.517 Å, 90.00 90.00 90.00°
Space group P4/mmm (No. 123)
One atom of each set of equivalent atoms:
Nb: 0.000 0.000 0.000 [1 per cell]
P: 0.000 0.000 0.500 [1 per cell]
Br: 0.500 0.500 0.500 [1 per cell]
O: 0.000 0.500 0.000 [2 per cell]

Values from the calculation:
* DOS(E_F): 1.58 states/eV per cell
* energy relative to the elements, uncorrected: -1141 meV per atom

Entry 9:
The following is a PBE calculation of a relaxed structure of NbPBrO2, from the Alexandria database.

Cell: 3.766 3.766 5.685 Å, 90.00 90.00 90.00°
Space group P4/mmm (No. 123)
One atom of each set of equivalent atoms:
Nb: 0.000 0.000 0.000 [1 per cell]
P: 0.500 0.500 0.000 [1 per cell]
Br: 0.500 0.500 0.500 [1 per cell]
O: 0.000 0.500 0.500 [2 per cell]

Values from the calculation:
* DOS(E_F): 1.95 states/eV per cell
* energy relative to the elements, uncorrected: 674 meV per atom

Entry 10:
The following is a PBE calculation of a relaxed structure of Nb2PbBrO, from the Alexandria database.

Cell: 5.513 5.513 4.346 Å, 90.00 90.00 90.00°
Space group P4/mmm (No. 123)
One atom of each set of equivalent atoms:
Nb: 0.000 0.500 0.000 [2 per cell]
Pb: 0.000 0.000 0.000 [1 per cell]
Br: 0.500 0.500 0.500 [1 per cell]
O: 0.000 0.000 0.500 [1 per cell]

Values from the calculation:
* DOS(E_F): 8.07 states/eV per cell
* energy relative to the elements, uncorrected: 1315 meV per atom

Entry 11:
The following is a PBE calculation of a relaxed structure of PmNbBrO4, from the Alexandria database.

Cell: 12.611 6.612 7.134 Å, 90.00 104.21 90.00°
Space group C2/m (No. 12)
One atom of each set of equivalent atoms:
Pm: 0.209 0.000 0.341 [4 per cell]
Nb: 0.127 0.000 0.754 [4 per cell]
Br: 0.013 0.500 0.165 [4 per cell]
O: 0.024 0.000 0.287 [4 per cell]
O: 0.180 0.215 0.623 [8 per cell]
O: 0.192 0.000 0.016 [4 per cell]

Values from the calculation:
* energy relative to the elements, uncorrected: -2489 meV per atom

Entry 12:
The following is a PBE calculation of a relaxed structure of Pm3NbBr2O6, from the Alexandria database.

Cell: 11.811 6.747 5.890 Å, 90.00 101.61 90.00°
Space group C2/m (No. 12)
One atom of each set of equivalent atoms:
Pm: 0.000 0.000 0.000 [2 per cell]
Pm: 0.250 0.250 0.500 [4 per cell]
Nb: 0.000 0.500 0.500 [2 per cell]
Br: 0.221 0.000 0.876 [4 per cell]
O: 0.054 0.266 0.303 [8 per cell]
O: 0.166 0.500 0.660 [4 per cell]

Values from the calculation:
* DOS(E_F): 0.00 states/eV per cell
* energy relative to the elements, uncorrected: -2495 meV per atom

Calculated mass density (kg/m³), listed in the same order as above: 7165 4125 4124 4684 5320 4230 4854 4634 4856 6146 4398 5662